# 1
! MnInAgI4 PBE-GGA relaxed; values from VASP
&SYSTEM
  ibrav = 0, nat = 14, ntyp = 4
/
ATOMIC_SPECIES
Mn 54.94 Mn.upf
In 114.82 In.upf
Ag 107.87 Ag.upf
I 126.90 I.upf
CELL_PARAMETERS angstrom
6.910 0.000 0.000
0.000 8.483 0.000
-1.650 0.000 9.323
ATOMIC_POSITIONS crystal
Mn 0.237 0.250 0.314
Mn 0.763 0.750 0.686
In 0.170 0.750 0.018
In 0.830 0.250 0.982
Ag 0.143 0.750 0.524
Ag 0.857 0.250 0.476
I 0.030 0.506 0.719
I 0.030 0.994 0.719
I 0.371 0.250 0.066
I 0.488 0.250 0.560
I 0.512 0.750 0.440
I 0.629 0.750 0.934
I 0.970 0.006 0.281
I 0.970 0.494 0.281
! - Space group: P2_1/m, No. 11
! - Formation energy without anion corrections: -34 kJ per mole of atoms
! - Total DFT energy (no corrections): -23.41 eV per formula unit

# 2
! LiPr2SmSe5 PBE-GGA relaxed; values from VASP
&SYSTEM
  ibrav = 0, nat = 18, ntyp = 4
/
ATOMIC_SPECIES
Li 6.94 Li.upf
Pr 140.91 Pr.upf
Sm 150.36 Sm.upf
Se 78.96 Se.upf
CELL_PARAMETERS angstrom
2.096 -8.740 0.000
2.096 8.740 0.000
0.000 0.000 12.579
ATOMIC_POSITIONS crystal
Li 0.013 0.987 0.500
Li 0.987 0.013 0.000
Pr 0.377 0.623 0.315
Pr 0.391 0.609 0.702
Pr 0.609 0.391 0.202
Pr 0.623 0.377 0.815
Sm 0.304 0.696 0.018
Sm 0.696 0.304 0.518
Se 0.002 0.998 0.302
Se 0.137 0.863 0.015
Se 0.192 0.808 0.357
Se 0.212 0.788 0.679
Se 0.455 0.545 0.090
Se 0.545 0.455 0.590
Se 0.788 0.212 0.179
Se 0.808 0.192 0.857
Se 0.863 0.137 0.515
Se 0.998 0.002 0.802
! - Space group: Cmc2_1, No. 36
! - Formation energy without anion corrections: -169 kJ per mole of atoms
! - Total DFT energy (no corrections): -49.38 eV per formula unit

# 3
! Pm5PrSc2 PBE-GGA relaxed; values from VASP
&SYSTEM
  ibrav = 0, nat = 16, ntyp = 3
/
ATOMIC_SPECIES
Pm 145.00 Pm.upf
Pr 140.91 Pr.upf
Sc 44.96 Sc.upf
CELL_PARAMETERS angstrom
-4.572 4.572 6.203
4.572 -4.572 6.203
4.572 4.572 -6.203
ATOMIC_POSITIONS crystal
Pm 0.000 0.000 0.000
Pm 0.012 0.512 0.210
Pm 0.197 0.988 0.500
Pm 0.303 0.803 0.790
Pm 0.488 0.697 0.500
Pm 0.500 0.500 0.000
Pm 0.512 0.303 0.500
Pm 0.697 0.197 0.210
Pm 0.803 0.012 0.500
Pm 0.988 0.488 0.790
Pr 0.250 0.250 0.000
Pr 0.750 0.750 0.000
Sc 0.155 0.345 0.500
Sc 0.345 0.845 0.190
Sc 0.655 0.155 0.810
Sc 0.845 0.655 0.500
! - Space group: I4/mcm, No. 140
! - Formation enthalpy at 0 K: 0.141 eV/atom
! - Total DFT energy (no corrections): -40.07 eV per formula unit